No. 1
A plane-wave DFT calculation with PBE-GGA was carried out for AgW2Br after structural relaxation.

Unit cell a=3.018 b=4.317 c=6.074 alpha=90.00 beta=90.00 gamma=90.00
Fractional positions:
Ag1 0.500 0.500 0.250
Br1 0.500 0.500 0.750
W1 0.000 0.000 0.059
W2 0.000 0.000 0.441

Output
Its symmetry is Pmmm, No. 47. For the magnetization, the calculation gives 0.0 μB/cell. The uncorrected formation energy comes out at 1.327 eV per atom.

No. 2
A plane-wave DFT calculation with PBE-GGA was carried out for NaB4Ir4 after structural relaxation.

Unit cell a=4.012 b=7.567 c=7.567 alpha=90.00 beta=90.00 gamma=90.00
Fractional positions:
B1 0.612 0.842 0.280
B2 0.112 0.220 0.342
B3 0.888 0.342 0.780
B4 0.612 0.158 0.720
B5 0.388 0.720 0.842
B6 0.388 0.280 0.158
B7 0.112 0.780 0.658
B8 0.888 0.658 0.220
Ir1 0.611 0.885 0.649
Ir2 0.611 0.115 0.351
Ir3 0.389 0.649 0.115
Ir4 0.111 0.851 0.385
Ir5 0.389 0.351 0.885
Ir6 0.111 0.149 0.615
Ir7 0.889 0.615 0.851
Ir8 0.889 0.385 0.149
Na1 0.000 0.000 0.000
Na2 0.500 0.500 0.500

Output
Its symmetry is P4_2/n, No. 86. For the magnetization, the calculation gives 0.0 μB/cell. For the formation energy, the calculation gives -0.29 eV per atom.

No. 3
A plane-wave DFT calculation with PBE-GGA was carried out for BaZr2Ru after structural relaxation.

Unit cell a=3.314 b=3.437 c=9.028 alpha=90.00 beta=90.00 gamma=90.00
Fractional positions:
Ru1 0.500 0.500 0.750
Zr1 0.000 0.000 0.583
Zr2 0.000 0.000 0.917
Ba1 0.500 0.500 0.250

Output
Its symmetry is Pmmm, No. 47. For the magnetization, the calculation gives 0.0 μB/cell. For the formation energy, the calculation gives 0.08 eV per atom.

| no. | VASP energy (eV per atom) | energy above the most stable polymorph in this dataset (eV/f.u.) |
| --- | --- | --- |
| 1 | -6.28 | 3.324 |
| 2 | -7.35 | 0.000 |
| 3 | -6.99 | 0.000 |